Record 1
Computed, not measured: a geometry-optimized NaTlPd2 structure at the PBE-GGA level of DFT.

a = 4.703 Å, b = 4.703 Å, c = 4.703 Å
α = 60.00°, β = 60.00°, γ = 60.00°
Sites, in units of the cell vectors:
Na 0.000 0.000 0.000
Tl 0.500 0.500 0.500
Pd 0.250 0.250 0.250
Pd 0.750 0.750 0.750

Properties
DOS(E_F): 0.4219 states/eV/atom

Record 2
Computed, not measured: a geometry-optimized NaTlPd2 structure at the PBE-GGA level of DFT.

a = 4.328 Å, b = 4.328 Å, c = 3.903 Å
α = 90.00°, β = 90.00°, γ = 90.00°
Sites, in units of the cell vectors:
Na 0.000 0.000 0.000
Tl 0.500 0.500 0.000
Pd 0.000 0.500 0.500
Pd 0.500 0.000 0.500

Properties
DOS(E_F): 0.1076 states/eV/atom

Record 3
Computed, not measured: a geometry-optimized Na3TlPd structure at the PBE-GGA level of DFT.

a = 5.428 Å, b = 5.428 Å, c = 5.428 Å
α = 90.00°, β = 90.00°, γ = 90.00°
Sites, in units of the cell vectors:
Na 0.000 0.000 0.500
Na 0.000 0.500 0.000
Na 0.500 0.000 0.000
Tl 0.500 0.500 0.500
Pd 0.000 0.000 0.000

Properties
DOS(E_F): 0.5524 states/eV/atom
energy above the most stable polymorph in this dataset: 235.4 meV per atom

Number 1: ΔH_f (0 K) -0.73 eV per formula unit. Number 2: ΔH_f (0 K) -0.80 eV per formula unit. Number 3: ΔH_f (0 K) 0.57 eV per formula unit.